The following is a DFT calculation (GGA-PBE) of crystalline VHgSe2 at its relaxed geometry.

a b c (Å): 8.2796 8.2796 8.2796
angles (deg): 28.56 28.56 28.56
Last column: nearest neighbours and their distance in Å.
Sites, in units of the cell vectors:
Hg 0.5000 0.5000 0.5000  6 Se 2.85
Se 0.9005 0.9005 0.9005  1 V 2.37
Se 0.0995 0.0995 0.0995  1 V 2.37
V 0.0000 0.0000 0.0000  2 Se 2.37

## Properties
Its total DFT energy (no corrections) is -15.07 eV per cell. As for the total moment: 2.949 μB/f.u.